1.
# RbTiIn2S PBE-GGA relaxed
# DOS at the Fermi energy: 0.77 states/eV/atom
data_RbTiIn2S
_cell_length_a 6.020
_cell_length_b 6.020
_cell_length_c 4.636
_cell_angle_alpha 90.00
_cell_angle_beta 90.00
_cell_angle_gamma 90.00
_space_group_name_H-M_alt 'P 1'
_space_group_IT_number 1
_space_group_name_Hall 'P 1'
loop_
_atom_site_label
_atom_site_type_symbol
_atom_site_fract_x
_atom_site_fract_y
_atom_site_fract_z
Rb1 Rb 0.000 0.000 0.000
Ti1 Ti 0.500 0.500 0.000
In1 In 0.000 0.500 0.500
In2 In 0.500 0.000 0.500
S1 S 0.500 0.500 0.500

=====

2.
# SmEr3Sc6 PBE-GGA relaxed
# Energy relative to the elements: 0.16 eV per atom
# DOS at the Fermi energy: 1.46 states/eV/atom
data_SmEr3Sc6
_cell_length_a 10.361
_cell_length_b 10.361
_cell_length_c 5.849
_cell_angle_alpha 90.00
_cell_angle_beta 90.00
_cell_angle_gamma 119.33
_space_group_name_H-M_alt 'P 1'
_space_group_IT_number 1
_space_group_name_Hall 'P 1'
loop_
_atom_site_label
_atom_site_type_symbol
_atom_site_fract_x
_atom_site_fract_y
_atom_site_fract_z
Sm1 Sm 0.212 0.788 0.500
Sm2 Sm 0.788 0.212 0.000
Er1 Er 0.072 0.281 0.300
Er2 Er 0.281 0.072 0.800
Er3 Er 0.396 0.604 0.395
Er4 Er 0.604 0.396 0.895
Er5 Er 0.719 0.928 0.300
Er6 Er 0.928 0.719 0.800
Sc1 Sc 0.025 0.455 0.694
Sc2 Sc 0.048 0.952 0.259
Sc3 Sc 0.280 0.385 0.849
Sc4 Sc 0.290 0.710 0.966
Sc5 Sc 0.385 0.280 0.349
Sc6 Sc 0.455 0.025 0.194
Sc7 Sc 0.545 0.975 0.694
Sc8 Sc 0.615 0.720 0.849
Sc9 Sc 0.710 0.290 0.466
Sc10 Sc 0.720 0.615 0.349
Sc11 Sc 0.952 0.048 0.759
Sc12 Sc 0.975 0.545 0.194

=====

3.
# TiCdRe2N PBE-GGA relaxed
# DOS at the Fermi energy: 0.61 states/eV/atom
data_TiCdRe2N
_cell_length_a 4.990
_cell_length_b 4.990
_cell_length_c 3.797
_cell_angle_alpha 90.00
_cell_angle_beta 90.00
_cell_angle_gamma 90.00
_space_group_name_H-M_alt 'P 1'
_space_group_IT_number 1
_space_group_name_Hall 'P 1'
loop_
_atom_site_label
_atom_site_type_symbol
_atom_site_fract_x
_atom_site_fract_y
_atom_site_fract_z
Ti1 Ti 0.000 0.000 0.000
Cd1 Cd 0.500 0.500 0.500
Re1 Re 0.000 0.500 0.500
Re2 Re 0.500 0.000 0.500
N1 N 0.500 0.500 0.000

=====

Number 1: uncorrected energy -17.9 eV for the cell shown. Number 2: uncorrected energy -109.7 eV for the cell shown. Number 3: uncorrected energy -28.7 eV for the cell shown.